DFT (GGA-PBE) results for an optimized crystal structure of YMnAg.

Volume in Å³/atom: 21.04
DFT total energy in eV per atom: -6.082
Density of states at the Fermi level in states/eV/cell: 5.872

a = 3.531 Å, b = 3.531 Å, c = 10.123 Å
α = 90.00°, β = 90.00°, γ = 90.00°
Space group I4mm (No. 107)
One atom of each set of equivalent atoms:
1 Y 0.000 0.000 0.000
2 Mn 0.000 0.000 0.678
3 Ag 0.000 0.000 0.313

DFT (GGA-PBE) results for an optimized crystal structure of YMn2Ag.

Offset from the most stable computed form in meV/atom: 173
Volume in Å³/atom: 19.57
Density of states at the Fermi level in states/eV/cell: 3.971

a = 3.410 Å, b = 3.410 Å, c = 6.732 Å
α = 90.00°, β = 90.00°, γ = 90.00°
Space group P4/mmm (No. 123)
One atom of each set of equivalent atoms:
1 Y 0.000 0.000 0.000
2 Mn 0.500 0.500 0.287
3 Ag 0.000 0.000 0.500

Total moment for every record listed, in sequence, given in μB/f.u.: 3.7 7.3.